(1)
Compound: MgTePdO
Source: OQMD
Functional: PBE
Structure: relaxed

extended XYZ file:
```
16
Lattice="-0.9294 4.9823 -1.2457 -4.4101 0.5717 5.5768 5.7907 2.1696 4.3568" Properties=species:S:1:pos:R:3 pbc="T T T"
Mg -2.0573 4.2024 1.6325
Mg -1.7496 2.6130 6.6002
Mg 0.0221 5.2548 4.9116
Mg 4.6871 3.3768 4.2316
O -1.2016 3.1465 0.2223
O -0.4830 3.3938 5.3267
O -1.5379 6.0468 5.7918
O 4.1248 2.8599 6.0351
Pd -3.0541 1.0645 4.4973
Pd 0.4365 5.5967 2.2316
Pd 1.9284 3.4029 3.2774
Pd 1.5916 5.3829 7.3696
Te -3.7858 4.6201 5.4210
Te -0.6367 2.2751 3.5903
Te 3.2489 5.3985 2.2503
Te 2.0759 3.1534 6.1143
```

Values from the calculation:
Total DFT energy (no corrections) = -4.650 eV/atom

=====

(2)
Compound: MgTePdO
Source: OQMD
Functional: PBE
Structure: relaxed

extended XYZ file:
```
8
Lattice="4.5811 0.0000 0.0000 0.0000 4.5811 0.0000 0.0000 0.0000 7.1087" Properties=species:S:1:pos:R:3 pbc="T T T"
Mg 3.4358 3.4358 1.6462
Mg 1.1453 1.1453 5.4625
O 3.4358 3.4358 3.4909
O 1.1453 1.1453 3.6178
Pd 3.4358 1.1453 0.0000
Pd 1.1453 3.4358 0.0000
Te 1.1453 1.1453 1.7017
Te 3.4358 3.4358 5.4069
```

Values from the calculation:
Total DFT energy (no corrections) = -4.440 eV/atom

=====

(3)
Compound: PrMgO3
Source: OQMD
Functional: PBE
Structure: relaxed

extended XYZ file:
```
10
Lattice="2.2485 -5.7157 0.0000 2.2485 5.7157 0.0000 0.0000 0.0000 5.3922" Properties=species:S:1:pos:R:3 pbc="T T T"
Mg 2.2485 5.0453 0.0407
Mg 2.2485 -5.0453 2.7368
O 2.2485 3.4290 1.1307
O 1.1681 0.4586 1.1883
O 3.3288 0.4586 1.1883
O 2.2485 -3.4290 3.8268
O 1.1681 -0.4586 3.8844
O 3.3288 -0.4586 3.8844
Pr 2.2485 -1.7044 2.1892
Pr 2.2485 1.7044 4.8853
```

Values from the calculation:
Magnetic moment = 0.00 μB per atom
Total DFT energy (no corrections) = -6.681 eV/atom

=====

(4)
Compound: Pr3MgO
Source: OQMD
Functional: PBE
Structure: relaxed

extended XYZ file:
```
5
Lattice="-0.4509 3.6905 -3.4145 -2.3161 -3.1953 -3.1477 -4.4626 1.2855 1.9787" Properties=species:S:1:pos:R:3 pbc="T T T"
Mg -3.6148 0.8903 -2.2918
O 0.0000 0.0000 0.0000
Pr -0.2255 1.8452 -1.7073
Pr -1.1580 -1.5977 -1.5738
Pr -2.2313 0.6427 0.9893
```

Values from the calculation:
Magnetic moment = 0.01 μB per atom
Total DFT energy (no corrections) = -5.334 eV/atom

=====

(5)
Compound: Pr2Mg2O5
Source: OQMD
Functional: PBE
Structure: relaxed

extended XYZ file:
```
9
Lattice="9.2173 0.0000 0.0000 0.0000 4.0409 0.0000 0.0000 0.0000 4.0409" Properties=species:S:1:pos:R:3 pbc="T T T"
Mg 0.0000 0.0000 0.0000
Mg 4.6086 0.0000 0.0000
O 1.2359 2.0205 0.0000
O 7.9813 2.0205 0.0000
O 1.2359 0.0000 2.0205
O 7.9813 0.0000 2.0205
O 4.6086 2.0205 2.0205
Pr 2.1843 2.0205 2.0205
Pr 7.0330 2.0205 2.0205
```

Values from the calculation:
Magnetic moment = 0.00 μB per atom
Total DFT energy (no corrections) = -6.208 eV/atom

=====

(6)
Compound: Pr2MgO4
Source: OQMD
Functional: PBE
Structure: relaxed

extended XYZ file:
```
14
Lattice="4.8446 -4.8449 0.0000 -4.8446 0.0000 -4.8449 4.8446 4.8449 0.0000" Properties=species:S:1:pos:R:3 pbc="T T T"
Mg 0.0000 0.0000 0.0000
Mg 2.4223 -2.4225 -2.4225
O -1.1960 1.1958 -3.6491
O 3.6486 -1.1958 -1.1958
O 1.1960 -1.1958 -3.6491
O 1.2262 1.2266 -1.2267
O 6.0406 1.1958 -1.1958
O 1.2263 3.6183 -3.6183
O 3.6183 3.6183 -1.2267
O 3.6183 1.2267 -3.6183
Pr -1.2111 -1.2112 -3.6337
Pr 3.6334 1.2112 -1.2112
Pr 1.2111 1.2112 -3.6337
Pr 6.0558 -1.2112 -1.2112
```

Values from the calculation:
Magnetic moment = 0.00 μB per atom
Total DFT energy (no corrections) = -7.273 eV/atom

=====

(7)
Compound: Pr3Mg2Sb3O14
Source: OQMD
Functional: PBE
Structure: relaxed

extended XYZ file:
```
22
Lattice="3.7268 2.1517 5.8628 -3.7268 2.1517 5.8628 0.0000 -4.3034 5.8628" Properties=species:S:1:pos:R:3 pbc="T T T"
Mg 0.0000 0.0000 0.0000
Mg 0.0000 0.0000 8.7942
O 0.0000 2.5609 8.4172
O -2.1306 1.2301 4.8613
O 2.1306 1.2301 4.8613
O 2.2178 1.2805 9.1713
O -2.2178 1.2805 9.1713
O 0.0000 2.4602 12.7272
O 0.0000 0.0000 6.8302
O 0.0000 0.0000 10.7582
O 0.0000 -2.4602 4.8613
O 2.2178 -1.2805 8.4172
O -2.2178 -1.2805 8.4172
O 2.1306 -1.2301 12.7272
O -2.1306 -1.2301 12.7272
O 0.0000 -2.5609 9.1713
Pr 0.0000 2.1517 5.8628
Pr 1.8634 -1.0758 5.8628
Pr -1.8634 -1.0758 5.8628
Sb 1.8634 1.0758 2.9314
Sb -1.8634 1.0758 2.9314
Sb 0.0000 -2.1517 2.9314
```

Values from the calculation:
Magnetic moment = 0.00 μB per atom
Total DFT energy (no corrections) = -6.925 eV/atom

=====

(8)
Compound: Pr2MgTeO6
Source: OQMD
Functional: PBE
Structure: relaxed

extended XYZ file:
```
20
Lattice="5.6261 0.0000 0.0000 0.0000 5.8926 0.0000 -5.5568 0.0000 8.0899" Properties=species:S:1:pos:R:3 pbc="T T T"
Mg 2.8131 0.0000 0.0000
Mg 0.0347 2.9463 4.0449
O 1.7584 4.1332 0.4745
O 1.1320 1.1398 0.4772
O 3.4728 0.2474 1.9694
O -0.6250 3.1937 2.0756
O 1.7158 4.0861 3.5678
O 1.0893 1.1869 3.5705
O -1.0199 4.7057 4.5194
O -1.6464 1.8064 4.5221
O 0.6944 2.6989 6.0143
O -3.4034 5.6452 6.1205
O -1.0626 4.7527 7.6127
O -1.6891 1.7594 7.6154
Pr 2.7332 2.5887 2.0153
Pr 0.1146 5.5350 2.0297
Pr -0.0452 0.3576 6.0602
Pr -2.6638 3.3038 6.0746
Te 0.0000 2.9463 0.0000
Te -2.7784 0.0000 4.0449
```

Values from the calculation:
Magnetic moment = 0.00 μB per atom
Total DFT energy (no corrections) = -6.861 eV/atom

=====

(9)
Compound: MgPtO3
Source: OQMD
Functional: PBE
Structure: relaxed

extended XYZ file:
```
10
Lattice="-2.4118 5.1422 -0.2970 -1.8169 -3.7149 3.9046 3.8091 1.9987 3.6741" Properties=species:S:1:pos:R:3 pbc="T T T"
Mg -0.7881 2.9209 2.4850
Mg 1.3126 1.0004 5.7072
O -1.0761 4.4936 1.5253
O 0.2835 1.6185 1.6874
O -2.0965 2.4219 3.7179
O 1.2483 -0.7571 6.3272
O 2.2754 1.3181 4.1410
O -0.1047 2.1215 6.1715
Pt -1.5225 -3.5586 4.1878
Pt -0.2126 6.2944 1.8250
```

Values from the calculation:
Magnetic moment = 0.00 μB per atom
Total DFT energy (no corrections) = -5.597 eV/atom

=====

(10)
Compound: MgPtO3
Source: OQMD
Functional: PBE
Structure: relaxed

extended XYZ file:
```
10
Lattice="2.5854 1.4927 4.5804 -2.5854 1.4927 4.5804 0.0000 -2.9853 4.5804" Properties=species:S:1:pos:R:3 pbc="T T T"
Mg 0.0000 0.0000 0.0000
Mg 0.0000 0.0000 6.8700
O -0.7743 1.3522 5.4174
O 0.7840 1.6386 7.7076
O 1.5582 -0.0055 5.4174
O -1.8111 -0.1404 7.7076
O -0.7839 -1.3467 5.4174
O 1.0271 -1.4983 7.7076
Pt 0.0000 0.0000 4.0770
Pt 0.0000 0.0000 10.9477
```

Values from the calculation:
Magnetic moment = 0.00 μB per atom
Total DFT energy (no corrections) = -5.880 eV/atom

=====

(11)
Compound: Mg2Pt2O5
Source: OQMD
Functional: PBE
Structure: relaxed

extended XYZ file:
```
9
Lattice="-1.0696 1.8884 -6.3676 -3.5646 -1.5995 0.1244 -1.4790 3.3938 1.2549" Properties=species:S:1:pos:R:3 pbc="T T T"
Mg 0.0000 0.0000 0.0000
Mg -0.5348 0.9442 -3.1838
O -2.0414 -0.3423 -1.4801
O -2.5928 0.6313 -4.7630
O -0.9986 2.1543 -0.9149
O -1.5500 3.1279 -4.1978
O -3.0566 1.8414 -2.4941
Pt -2.7230 1.2524 -0.5080
Pt -3.3902 2.4304 -4.4802
```

Values from the calculation:
Magnetic moment = 0.00 μB per atom
Total DFT energy (no corrections) = -5.241 eV/atom

=====

(12)
Compound: MgPtO3
Source: OQMD
Functional: PBE
Structure: relaxed

extended XYZ file:
```
10
Lattice="2.6848 1.5501 4.2685 -2.6848 1.5501 4.2685 0.0000 -3.1002 4.2685" Properties=species:S:1:pos:R:3 pbc="T T T"
Mg 0.0000 0.0000 3.2014
Mg 0.0000 0.0000 9.6042
O -0.9694 1.4212 5.3357
O 0.7461 1.5501 7.4699
O 1.7155 0.1289 5.3357
O -1.7155 -0.1289 7.4700
O -0.7461 -1.5501 5.3357
O 0.9694 -1.4212 7.4700
Pt 0.0000 0.0000 0.0000
Pt 0.0000 0.0000 6.4028
```

Values from the calculation:
Magnetic moment = 0.00 μB per atom
Total DFT energy (no corrections) = -5.750 eV/atom